Computed, not measured: Fe7Os after structural relaxation at the PBE level of DFT.

Geometry as CIF:
```
data_Fe7Os
_chemical_formula_sum 'Fe28 Os4'
_cell_length_a 7.080
_cell_length_b 7.080
_cell_length_c 7.080
_cell_angle_alpha 90.00
_cell_angle_beta 90.00
_cell_angle_gamma 90.00
_space_group_name_H-M_alt 'F m -3 m'
_space_group_IT_number 225
_space_group_name_Hall '-F 4 2 3'
loop_
_atom_site_label
_atom_site_type_symbol
_atom_site_fract_x
_atom_site_fract_y
_atom_site_fract_z
Fe1 Fe 0.000 0.000 0.000
Fe2 Fe 0.000 0.250 0.250
Os1 Os 0.000 0.000 0.500
```

As for the uncorrected energy: -0.318 Ha/atom. The calculation puts the magnetization at 1.3 μB/f.u.


Computed, not measured: FeOs2 after structural relaxation at the PBE level of DFT.

Geometry as CIF:
```
data_FeOs2
_chemical_formula_sum 'Fe3 Os6'
_cell_length_a 6.1925
_cell_length_b 6.1925
_cell_length_c 3.6916
_cell_angle_alpha 90.00
_cell_angle_beta 90.00
_cell_angle_gamma 120.00
_space_group_name_H-M_alt 'P -6 2 m'
_space_group_IT_number 189
_space_group_name_Hall 'P -6 -2'
loop_
_atom_site_label
_atom_site_type_symbol
_atom_site_fract_x
_atom_site_fract_y
_atom_site_fract_z
Fe1 Fe 0.0000 0.0000 0.0000
Fe2 Fe 0.3333 0.6667 0.5000
Os1 Os 0.0000 0.2557 0.5000
Os2 Os 0.0000 0.5994 0.0000
```

As for the uncorrected energy: -0.359 Ha/atom. Its energy above the most stable polymorph in this dataset is 0.505 eV/atom. The calculation puts the magnetization at 0.5 μB/f.u.


Computed, not measured: Fe4Os3 after structural relaxation at the PBE level of DFT.

Geometry as CIF:
```
data_Fe4Os3
_chemical_formula_sum 'Fe8 Os6'
_cell_length_a 2.837
_cell_length_b 2.837
_cell_length_c 22.255
_cell_angle_alpha 90.00
_cell_angle_beta 90.00
_cell_angle_gamma 90.00
_space_group_name_H-M_alt 'I 4/m m m'
_space_group_IT_number 139
_space_group_name_Hall '-I 4 2'
loop_
_atom_site_label
_atom_site_type_symbol
_atom_site_fract_x
_atom_site_fract_y
_atom_site_fract_z
Fe1 Fe 0.000 0.000 0.072
Fe2 Fe 0.000 0.000 0.365
Os1 Os 0.000 0.000 0.209
Os2 Os 0.000 0.000 0.500
```

As for the uncorrected energy: -0.349 Ha/atom. Its energy above the most stable polymorph in this dataset is 0.000 eV/atom. The calculation puts the magnetization at 10.0 μB/f.u.


Computed, not measured: Fe2Os3 after structural relaxation at the PBE level of DFT.

Geometry as CIF:
```
data_Fe2Os3
_chemical_formula_sum 'Fe6 Os9'
_cell_length_a 2.6826
_cell_length_b 2.6826
_cell_length_c 32.2493
_cell_angle_alpha 90.00
_cell_angle_beta 90.00
_cell_angle_gamma 120.00
_space_group_name_H-M_alt 'R -3 m'
_space_group_IT_number 166
_space_group_name_Hall '-R 3 2"'
loop_
_atom_site_label
_atom_site_type_symbol
_atom_site_fract_x
_atom_site_fract_y
_atom_site_fract_z
Fe1 Fe 0.0000 0.0000 0.1004
Os1 Os 0.0000 0.0000 0.2983
Os2 Os 0.0000 0.0000 0.5000
```

As for the uncorrected energy: -0.365 Ha/atom. Its energy above the most stable polymorph in this dataset is 0.000 eV/atom. The calculation puts the magnetization at 3.9 μB/f.u.


Computed, not measured: FeOs2 after structural relaxation at the PBE level of DFT.

Geometry as CIF:
```
data_FeOs2
_chemical_formula_sum 'Fe4 Os8'
_cell_length_a 2.697
_cell_length_b 13.858
_cell_length_c 4.214
_cell_angle_alpha 90.00
_cell_angle_beta 90.00
_cell_angle_gamma 90.00
_space_group_name_H-M_alt 'C m c m'
_space_group_IT_number 63
_space_group_name_Hall '-C 2c 2'
loop_
_atom_site_label
_atom_site_type_symbol
_atom_site_fract_x
_atom_site_fract_y
_atom_site_fract_z
Fe1 Fe 0.000 0.110 0.250
Os1 Os 0.000 0.221 0.750
Os2 Os 0.000 0.445 0.250
```

As for the uncorrected energy: -0.378 Ha/atom. Its energy above the most stable polymorph in this dataset is 0.000 eV/atom. The calculation puts the magnetization at 0.0 μB/f.u.


Computed, not measured: FeOs2 after structural relaxation at the PBE level of DFT.

Geometry as CIF:
```
data_FeOs2
_chemical_formula_sum 'Fe8 Os16'
_cell_length_a 3.765
_cell_length_b 3.765
_cell_length_c 22.506
_cell_angle_alpha 90.00
_cell_angle_beta 90.00
_cell_angle_gamma 90.00
_space_group_name_H-M_alt 'I 41/a m d'
_space_group_IT_number 141
loop_
_space_group_symop_operation_xyz
'x,y,z'
'-x,-y,-z'
'-y+1/4,x+3/4,z+1/4'
'y+1/4,-x+3/4,-z+1/4'
'-x+1/2,-y,z+1/2'
'x+1/2,y,-z+1/2'
'y+1/4,-x+1/4,z+3/4'
'-y+1/4,x+1/4,-z+3/4'
'x,-y,-z'
'-x,y,z'
'-y+1/4,-x+1/4,-z+3/4'
'y+1/4,x+1/4,z+3/4'
'-x+1/2,y,-z+1/2'
'x+1/2,-y,z+1/2'
'y+1/4,x+3/4,-z+1/4'
'-y+1/4,-x+3/4,z+1/4'
'x+1/2,y+1/2,z+1/2'
'-x+1/2,-y+1/2,-z+1/2'
'-y+3/4,x+1/4,z+3/4'
'y+3/4,-x+1/4,-z+3/4'
'-x,-y+1/2,z'
'x,y+1/2,-z'
'y+3/4,-x+3/4,z+1/4'
'-y+3/4,x+3/4,-z+1/4'
'x+1/2,-y+1/2,-z+1/2'
'-x+1/2,y+1/2,z+1/2'
'-y+3/4,-x+3/4,-z+1/4'
'y+3/4,x+3/4,z+1/4'
'-x,y+1/2,-z'
'x,-y+1/2,z'
'y+3/4,x+1/4,-z+3/4'
'-y+3/4,-x+1/4,z+3/4'
loop_
_atom_site_label
_atom_site_type_symbol
_atom_site_fract_x
_atom_site_fract_y
_atom_site_fract_z
Fe1 Fe 0.000 0.250 0.292
Os1 Os 0.000 0.250 0.127
Os2 Os 0.000 0.250 0.790
```

As for the uncorrected energy: -0.373 Ha/atom. Its energy above the most stable polymorph in this dataset is 0.127 eV/atom. The calculation puts the magnetization at 0.9 μB/f.u.


Computed, not measured: Fe3Os after structural relaxation at the PBE level of DFT.

Geometry as CIF:
```
data_Fe3Os
_chemical_formula_sum 'Fe6 Os2'
_cell_length_a 3.598
_cell_length_b 3.598
_cell_length_c 7.263
_cell_angle_alpha 90.00
_cell_angle_beta 90.00
_cell_angle_gamma 90.00
_space_group_name_H-M_alt 'I 4/m m m'
_space_group_IT_number 139
_space_group_name_Hall '-I 4 2'
loop_
_atom_site_label
_atom_site_type_symbol
_atom_site_fract_x
_atom_site_fract_y
_atom_site_fract_z
Fe1 Fe 0.000 0.000 0.000
Fe2 Fe 0.000 0.500 0.250
Os1 Os 0.000 0.000 0.500
```

As for the uncorrected energy: -0.332 Ha/atom. The calculation puts the magnetization at 4.3 μB/f.u.


Computed, not measured: Fe3Os after structural relaxation at the PBE level of DFT.

Geometry as CIF:
```
data_Fe3Os
_chemical_formula_sum 'Fe6 Os2'
_cell_length_a 2.579
_cell_length_b 8.054
_cell_length_c 4.399
_cell_angle_alpha 90.00
_cell_angle_beta 90.00
_cell_angle_gamma 90.00
_space_group_name_H-M_alt 'I m m 2'
_space_group_IT_number 44
_space_group_name_Hall 'I 2 -2'
loop_
_atom_site_label
_atom_site_type_symbol
_atom_site_fract_x
_atom_site_fract_y
_atom_site_fract_z
Fe1 Fe 0.000 0.000 0.000
Fe2 Fe 0.000 0.253 0.665
Os1 Os 0.000 0.500 0.003
```

As for the uncorrected energy: -0.333 Ha/atom. The calculation puts the magnetization at 0.0 μB/f.u.


Computed, not measured: Fe2Os after structural relaxation at the PBE level of DFT.

Geometry as CIF:
```
data_Fe2Os
_chemical_formula_sum 'Fe8 Os4'
_cell_length_a 2.603
_cell_length_b 13.313
_cell_length_c 4.060
_cell_angle_alpha 90.00
_cell_angle_beta 90.00
_cell_angle_gamma 90.00
_space_group_name_H-M_alt 'C m c m'
_space_group_IT_number 63
_space_group_name_Hall '-C 2c 2'
loop_
_atom_site_label
_atom_site_type_symbol
_atom_site_fract_x
_atom_site_fract_y
_atom_site_fract_z
Fe1 Fe 0.000 0.056 0.250
Fe2 Fe 0.000 0.278 0.750
Os1 Os 0.000 0.388 0.250
```

As for the uncorrected energy: -0.343 Ha/atom. The calculation puts the magnetization at 0.0 μB/f.u.


Computed, not measured: FeOs2 after structural relaxation at the PBE level of DFT.

Geometry as CIF:
```
data_FeOs2
_chemical_formula_sum 'Fe1 Os2'
_cell_length_a 4.191
_cell_length_b 4.191
_cell_length_c 2.603
_cell_angle_alpha 90.00
_cell_angle_beta 90.00
_cell_angle_gamma 90.00
_space_group_name_H-M_alt 'P 4/m m m'
_space_group_IT_number 123
_space_group_name_Hall '-P 4 2'
loop_
_atom_site_label
_atom_site_type_symbol
_atom_site_fract_x
_atom_site_fract_y
_atom_site_fract_z
Fe1 Fe 0.000 0.000 0.000
Os1 Os 0.000 0.500 0.500
```

As for the uncorrected energy: -0.344 Ha/atom. Its energy above the most stable polymorph in this dataset is 0.926 eV/atom. The calculation puts the magnetization at 1.5 μB/f.u.


Computed, not measured: Fe2Os after structural relaxation at the PBE level of DFT.

Geometry as CIF:
```
data_Fe2Os
_chemical_formula_sum 'Fe8 Os4'
_cell_length_a 2.590
_cell_length_b 3.877
_cell_length_c 15.682
_cell_angle_alpha 90.00
_cell_angle_beta 90.00
_cell_angle_gamma 90.00
_space_group_name_H-M_alt 'I m m a'
_space_group_IT_number 74
_space_group_name_Hall '-I 2b 2'
loop_
_atom_site_label
_atom_site_type_symbol
_atom_site_fract_x
_atom_site_fract_y
_atom_site_fract_z
Fe1 Fe 0.000 0.250 0.039
Fe2 Fe 0.000 0.250 0.190
Os1 Os 0.000 0.250 0.604
```

As for the uncorrected energy: -0.332 Ha/atom. The calculation puts the magnetization at 1.3 μB/f.u.


Computed, not measured: FeOs2 after structural relaxation at the PBE level of DFT.

Geometry as CIF:
```
data_FeOs2
_chemical_formula_sum 'Fe1 Os2'
_cell_length_a 2.6978
_cell_length_b 2.6978
_cell_length_c 6.4500
_cell_angle_alpha 90.00
_cell_angle_beta 90.00
_cell_angle_gamma 120.00
_space_group_name_H-M_alt 'P -3 m 1'
_space_group_IT_number 164
_space_group_name_Hall '-P 3 2"'
loop_
_atom_site_label
_atom_site_type_symbol
_atom_site_fract_x
_atom_site_fract_y
_atom_site_fract_z
Fe1 Fe 0.0000 0.0000 0.0000
Os1 Os 0.3333 0.6667 0.3275
```

As for the uncorrected energy: -0.372 Ha/atom. Its energy above the most stable polymorph in this dataset is 0.143 eV/atom. The calculation puts the magnetization at 1.8 μB/f.u.